# 1
ScAs2Pt | PBE-GGA | relaxed

It has space group R3m (No. 160, hexagonal axes), with a = 3.6882 Å, b = 3.6882 Å, c = 20.4429 Å, α = 90.00°, β = 90.00° and γ = 120.00°. Symmetry generates all atoms from Sc at (0.0000, 0.0000, 0.0000), As at (0.0000, 0.0000, 0.5077), As at (0.0000, 0.0000, 0.7607) and Pt at (0.0000, 0.0000, 0.2531).

The calculation puts the energy of formation from the pure elements at -0.409 eV/atom. The spin magnetization comes out at 0.00 μB/cell.

# 2
GaTeI7 | PBE-GGA | relaxed

It has space group Pc (No. 7), with a = 8.2907 Å, b = 7.5440 Å, c = 15.3519 Å, α = 90.00°, β = 104.09° and γ = 90.00°. Symmetry generates all atoms from Ga at (0.0000, 0.0076, 0.0000), Te at (0.3270, 0.3940, 0.1457), I at (0.2785, 0.3843, 0.7812), I at (0.2874, 0.0956, 0.9700), I at (0.5353, 0.1497, 0.2560), I at (0.5741, 0.4238, 0.5893), I at (0.7665, 0.1584, 0.8788), I at (0.9630, 0.3301, 0.4974) and I at (0.9955, 0.1441, 0.1554).

Its raw formation energy is -0.287 eV/atom. The spin magnetization comes out at 0.00 μB/cell.